Record 1
Material: Tl2AgRhBr6
Method: DFT, GGA-PBE
State: relaxed

Values from the calculation:
The value obtained for the formation energy from raw total energies is -0.54 eV/atom. The total magnetization is 0.0 μB/cell. As for the calculated total energy: -60.81 eV/cell.

abc: 7.2383 7.4178 12.9891
angles: 90.00 122.75 90.00
Last column: nearest neighbours and their distance in Å.
Space group P2_1/c (No. 14)
Inequivalent atoms, fractional coordinates:
Tl  0.2309  0.0696  0.2511 (multiplicity 4)  7 Br 3.32-3.57
Ag  0.0000  0.0000  0.5000 (multiplicity 2)  6 Br 2.79-3.00
Rh  0.5000  0.0000  0.0000 (multiplicity 2)  6 Br 2.54
Br  0.1768  0.1823  0.9684 (multiplicity 4)  1 Rh 2.54, 1 Ag 2.82
Br  0.2990  0.7079  0.9790 (multiplicity 4)  1 Rh 2.54, 1 Ag 2.79
Br  0.3326  0.5095  0.2707 (multiplicity 4)  1 Rh 2.54



Record 2
Material: AcPmOsPd
Method: DFT, GGA-PBE
State: relaxed

Values from the calculation:
The calculation puts the formation energy at -0.264 eV/atom. The density of states at the Fermi level comes out at 11.40 states/eV per cell. The total magnetization is 0.0 μB/cell. As for the calculated total energy: -105.35 eV/cell.

abc: 7.2758 7.2758 7.2758
angles: 90.00 90.00 90.00
Last column: nearest neighbours and their distance in Å.
Space group F-43m (No. 216)
Inequivalent atoms, fractional coordinates:
Ac  0.0000  0.0000  0.0000 (multiplicity 4)  4 Os 3.15, 4 Pd 3.15
Pm  0.0000  0.0000  0.5000 (multiplicity 4)  4 Os 3.15, 4 Pd 3.15
Os  0.2500  0.2500  0.2500 (multiplicity 4)  4 Ac 3.15, 4 Pm 3.15
Pd  0.2500  0.2500  0.7500 (multiplicity 4)  4 Ac 3.15, 4 Pm 3.15



Record 3
Material: Na2TbO3
Method: DFT, GGA-PBE
State: relaxed

Values from the calculation:
The value obtained for the formation energy from raw total energies is -2.10 eV/atom. The density of states at the Fermi level comes out at 38.02 states/eV per cell. The total magnetization is 8.1 μB/cell. As for the calculated total energy: -278.02 eV/cell.

abc: 5.9782 10.3766 11.3386
angles: 90.00 100.34 90.00
Last column: nearest neighbours and their distance in Å.
Space group C2/c (No. 15)
Inequivalent atoms, fractional coordinates:
Na  0.0000  0.0853  0.2500 (multiplicity 4)  6 O 2.50-2.52
Na  0.2386  0.0796  0.0002 (multiplicity 8)  6 O 2.43-2.63
Na  0.2500  0.2500  0.5000 (multiplicity 4)  6 O 2.39-2.60
Tb  0.0000  0.2475  0.7500 (multiplicity 4)  6 O 2.28-2.29
Tb  0.0000  0.4184  0.2500 (multiplicity 4)  6 O 2.28-2.29
O  0.0994  0.4150  0.6392 (multiplicity 8)  2 Tb 2.28-2.29, 2 Na 2.43-2.50
O  0.1426  0.0964  0.6364 (multiplicity 8)  2 Tb 2.29, 4 Na 2.39-2.52
O  0.1434  0.2667  0.1386 (multiplicity 8)  2 Tb 2.28, 2 Na 2.43-2.50



Record 4
Material: MnCr3Sb
Method: DFT, GGA-PBE
State: relaxed

Values from the calculation:
The value obtained for the formation energy from raw total energies is 1.42 eV/atom. The density of states at the Fermi level comes out at 4.22 states/eV per cell. The total magnetization is 7.9 μB/cell. As for the calculated total energy: -35.08 eV/cell.

abc: 5.0751 5.0751 5.0751
angles: 90.00 90.00 90.00
Last column: nearest neighbours and their distance in Å.
Space group Pm-3m (No. 221)
Inequivalent atoms, fractional coordinates:
Mn  0.0000  0.0000  0.0000 (multiplicity 1)  12 Cr 3.59
Cr  0.0000  0.5000  0.5000 (multiplicity 3)  2 Sb 2.54
Sb  0.5000  0.5000  0.5000 (multiplicity 1)  6 Cr 2.54



Record 5
Material: As2PtCl
Method: DFT, GGA-PBE
State: relaxed

Values from the calculation:
The value obtained for the formation energy from raw total energies is -0.34 eV/atom. The density of states at the Fermi level comes out at 3.78 states/eV per cell. The total magnetization is 0.0 μB/cell. As for the calculated total energy: -37.06 eV/cell.

abc: 6.9032 3.8572 7.2024
angles: 90.00 91.06 90.00
Last column: nearest neighbours and their distance in Å.
Space group Cm (No. 8)
Inequivalent atoms, fractional coordinates:
As  0.0000  0.0000  0.0000 (multiplicity 2)  3 Pt 2.58
As  0.1486  0.5000  0.6827 (multiplicity 2)  1 Cl 2.26, 3 Pt 2.49-2.50
Pt  0.3247  0.0000  0.8284 (multiplicity 2)  6 As 2.49-2.58
Cl  0.1350  0.5000  0.3687 (multiplicity 2)  1 As 2.26



Record 6
Material: AgRuS2O8
Method: DFT, GGA-PBE
State: relaxed

Values from the calculation:
The value obtained for the formation energy from raw total energies is -0.99 eV/atom. The density of states at the Fermi level comes out at 8.38 states/eV per cell. The total magnetization is 2.0 μB/cell. As for the calculated total energy: -143.96 eV/cell.

abc: 8.2435 5.2287 7.5223
angles: 90.00 91.00 90.00
Last column: nearest neighbours and their distance in Å.
Space group C2/m (No. 12)
Inequivalent atoms, fractional coordinates:
Ag  0.0000  0.0000  0.0000 (multiplicity 2)  2 O 2.38
Ru  0.0000  0.0000  0.5000 (multiplicity 2)  6 O 2.06
S  0.1491  0.5000  0.7102 (multiplicity 4)  4 O 1.45-1.53
O  0.0387  0.2664  0.6987 (multiplicity 8)  1 S 1.53
O  0.2296  0.5000  0.8835 (multiplicity 4)  1 S 1.45
O  0.2446  0.0000  0.4472 (multiplicity 4)  1 S 1.49



Record 7
Material: Sr2Mg3In2
Method: DFT, GGA-PBE
State: relaxed

Values from the calculation:
The calculation puts the formation energy at -0.254 eV/atom. The density of states at the Fermi level comes out at 7.46 states/eV per cell. The total magnetization is 0.0 μB/cell. As for the calculated total energy: -30.81 eV/cell.

abc: 11.9824 4.9301 7.7804
angles: 90.00 113.86 90.00
Last column: nearest neighbours and their distance in Å.
Space group C2/m (No. 12)
Inequivalent atoms, fractional coordinates:
Sr  0.1490  0.0000  0.2718 (multiplicity 4)  4 In 3.50-3.57, 8 Mg 3.52-3.87
Mg  0.0000  0.5000  0.5000 (multiplicity 2)  2 Mg 3.06, 4 In 3.11
Mg  0.1109  0.5000  0.9301 (multiplicity 4)  3 In 3.04-3.07, 2 Mg 3.06-3.25
In  0.1431  0.0000  0.7270 (multiplicity 4)  5 Mg 3.04-3.11



Record 8
Material: InCo3Re
Method: DFT, GGA-PBE
State: relaxed

Values from the calculation:
The calculation puts the formation energy at 1.264 eV/atom. The density of states at the Fermi level comes out at 7.68 states/eV per cell. The total magnetization is 0.2 μB/cell. As for the calculated total energy: -30.18 eV/cell.

abc: 4.4629 4.4629 4.4629
angles: 90.00 90.00 90.00
Last column: nearest neighbours and their distance in Å.
Space group Pm-3m (No. 221)
Inequivalent atoms, fractional coordinates:
In  0.0000  0.0000  0.0000 (multiplicity 1)  12 Co 3.16
Co  0.0000  0.5000  0.5000 (multiplicity 3)  2 Re 2.23
Re  0.5000  0.5000  0.5000 (multiplicity 1)  6 Co 2.23



Record 9
Material: NaIn5
Method: DFT, GGA-PBE
State: relaxed

Values from the calculation:
The calculation puts the formation energy at -0.061 eV/atom. The density of states at the Fermi level comes out at 3.72 states/eV per cell. The total magnetization is 0.0 μB/cell. As for the calculated total energy: -30.75 eV/cell.

abc: 4.6452 14.3102 4.7802
angles: 90.00 90.00 90.00
Last column: nearest neighbours and their distance in Å.
Space group Cmmm (No. 65)
Inequivalent atoms, fractional coordinates:
Na  0.0000  0.0000  0.0000 (multiplicity 2)  12 In 3.33-3.37
In  0.0000  0.1658  0.5000 (multiplicity 4)  10 In 3.32-3.36, 2 Na 3.37
In  0.0000  0.3306  0.0000 (multiplicity 4)  10 In 3.27-3.40, 2 Na 3.36
In  0.0000  0.5000  0.5000 (multiplicity 2)  8 In 3.32-3.40, 4 Na 3.33



Record 10
Material: TaSiTe
Method: DFT, GGA-PBE
State: relaxed

Values from the calculation:
The value obtained for the formation energy from raw total energies is 0.08 eV/atom. The density of states at the Fermi level comes out at 1.57 states/eV per cell. The total magnetization is 0.0 μB/cell. As for the calculated total energy: -20.17 eV/cell.

abc: 3.4028 3.4028 6.1191
angles: 90.00 90.00 120.00
Last column: nearest neighbours and their distance in Å.
Space group P3m1 (No. 156)
Inequivalent atoms, fractional coordinates:
Ta  0.0000  0.0000  0.0000 (multiplicity 1)  3 Si 2.62, 3 Te 2.80
Si  0.6667  0.3333  0.7164 (multiplicity 1)  3 Ta 2.62
Te  0.3333  0.6667  0.3267 (multiplicity 1)  3 Ta 2.80, 3 Si 3.09